First-principles (meta-GGA SCAN) data for a crystal of GaFe2AuBr relaxed with PBEsol, as listed in Alexandria.

The structure in extended XYZ format:
```
5
Lattice="-4.109 1.569 -0.921 -1.153 -0.486 4.317 1.580 4.694 0.950" Properties=species:S:1:pos:R:3 pbc="T T T"
Au -1.842 2.889 2.173
Ga 0.000 0.000 0.000
Br 0.790 2.347 0.475
Fe -0.577 -0.243 2.158
Fe -2.055 0.785 -0.461
```

Properties
- Mass density: 7470 kg/m3
- Size of the total moment: 6.339 μB/f.u.
- E_form (uncorrected): 1.106 eV per atom
- Crystal system: tetragonal
- E: -27.14 eV/atom
- Calculated volume: 102 Å³/f.u.



First-principles (meta-GGA SCAN) data for a crystal of GaAuBr3 relaxed with PBEsol, as listed in Alexandria.

The structure in extended XYZ format:
```
5
Lattice="-0.148 -1.340 4.864 -3.308 -3.648 -1.106 3.809 -3.220 -0.771" Properties=species:S:1:pos:R:3 pbc="T T T"
Au 0.177 -4.104 1.494
Br -1.654 -1.824 -0.553
Br 1.905 -1.610 -0.385
Br -0.074 -0.670 2.432
Ga 0.000 0.000 0.000
```

Properties
- Mass density: 6541 kg/m3
- Size of the total moment: 0.000 μB/f.u.
- E_form (uncorrected): 0.042 eV per atom
- Crystal system: cubic
- E: -28.73 eV/atom
- Calculated volume: 129 Å³/f.u.



First-principles (meta-GGA SCAN) data for a crystal of GaAu3Br relaxed with PBEsol, as listed in Alexandria.

The structure in extended XYZ format:
```
5
Lattice="-4.338 0.484 2.522 -2.568 -0.779 -4.267 -0.020 -4.957 0.917" Properties=species:S:1:pos:R:3 pbc="T T T"
Au -1.284 -0.389 -2.134
Au -0.010 -2.478 0.458
Au -2.169 0.242 1.261
Ga -3.463 -2.626 -0.414
Br 0.000 0.000 0.000
```

Properties
- Mass density: 9600 kg/m3
- Size of the total moment: 0.000 μB/f.u.
- E_form (uncorrected): 0.942 eV per atom
- Crystal system: cubic
- E: -47.71 eV/atom
- Calculated volume: 128 Å³/f.u.



First-principles (meta-GGA SCAN) data for a crystal of ZnGaAu2Br relaxed with PBEsol, as listed in Alexandria.

The structure in extended XYZ format:
```
5
Lattice="4.772 0.000 0.000 0.000 4.772 0.000 0.000 0.000 5.158" Properties=species:S:1:pos:R:3 pbc="T T T"
Zn 0.000 0.000 0.000
Au 0.000 2.386 0.000
Au 2.386 0.000 0.000
Ga 0.000 0.000 2.579
Br 2.386 2.386 2.579
```

Properties
- Mass density: 8607 kg/m3
- Size of the total moment: 0.000 μB/f.u.
- E_form (uncorrected): 0.303 eV per atom
- Crystal system: tetragonal
- E: -37.22 eV/atom
- Calculated volume: 117 Å³/f.u.



First-principles (meta-GGA SCAN) data for a crystal of GeAuBr2 relaxed with PBEsol, as listed in Alexandria.

The structure in extended XYZ format:
```
4
Lattice="-0.459 -3.822 3.121 3.613 -1.001 3.240 -0.711 0.821 4.835" Properties=species:S:1:pos:R:3 pbc="T T T"
Ge 0.000 0.000 0.000
Au 1.222 -2.001 5.598
Br 0.611 -1.000 2.799
Br 1.833 -3.001 8.397
```

Properties
- Mass density: 8286 kg/m3
- Size of the total moment: 0.000 μB/f.u.
- E_form (uncorrected): 0.329 eV per atom
- Crystal system: cubic
- E: -31.46 eV/atom
- Calculated volume: 86 Å³/f.u.



First-principles (meta-GGA SCAN) data for a crystal of GeAuBr3 relaxed with PBEsol, as listed in Alexandria.

The structure in extended XYZ format:
```
5
Lattice="5.183 0.000 0.000 0.000 5.183 0.000 0.000 0.000 5.183" Properties=species:S:1:pos:R:3 pbc="T T T"
Ge 2.592 2.592 2.592
Au 0.000 0.000 0.000
Br 0.000 2.592 0.000
Br 0.000 0.000 2.592
Br 2.592 0.000 0.000
```

Properties
- Mass density: 6074 kg/m3
- Size of the total moment: 0.779 μB/f.u.
- E_form (uncorrected): 0.283 eV per atom
- Crystal system: cubic
- E: -29.04 eV/atom
- Calculated volume: 139 Å³/f.u.



First-principles (meta-GGA SCAN) data for a crystal of Ge3AuBr relaxed with PBEsol, as listed in Alexandria.

The structure in extended XYZ format:
```
5
Lattice="5.036 0.000 0.000 0.000 5.036 0.000 0.000 0.000 5.036" Properties=species:S:1:pos:R:3 pbc="T T T"
Ge 0.000 2.518 0.000
Ge 0.000 0.000 2.518
Ge 2.518 0.000 0.000
Au 0.000 0.000 0.000
Br 2.518 2.518 2.518
```

Properties
- Mass density: 6433 kg/m3
- Size of the total moment: 0.000 μB/f.u.
- E_form (uncorrected): 0.534 eV per atom
- Crystal system: cubic
- E: -28.64 eV/atom
- Calculated volume: 128 Å³/f.u.



First-principles (meta-GGA SCAN) data for a crystal of LiGeAu2Br relaxed with PBEsol, as listed in Alexandria.

The structure in extended XYZ format:
```
5
Lattice="4.646 0.000 0.000 0.000 4.642 0.000 0.000 0.000 4.642" Properties=species:S:1:pos:R:3 pbc="T T T"
Ge 2.323 2.321 2.321
Au 0.000 0.000 2.321
Au 0.000 2.321 0.000
Br 2.323 0.000 0.000
Li 0.000 0.000 0.000
```

Properties
- Mass density: 9177 kg/m3
- Size of the total moment: 0.000 μB/f.u.
- E_form (uncorrected): 0.290 eV per atom
- Crystal system: tetragonal
- E: -35.56 eV/atom
- Calculated volume: 100 Å³/f.u.



First-principles (meta-GGA SCAN) data for a crystal of GeAuSeBr2 relaxed with PBEsol, as listed in Alexandria.

The structure in extended XYZ format:
```
5
Lattice="5.080 0.000 0.000 0.000 5.080 0.000 0.000 0.000 5.126" Properties=species:S:1:pos:R:3 pbc="T T T"
Ge 2.540 2.540 2.563
Au 0.000 0.000 0.000
Se 0.000 0.000 2.563
Br 0.000 2.540 0.000
Br 2.540 0.000 0.000
```

Properties
- Mass density: 6382 kg/m3
- Size of the total moment: 0.000 μB/f.u.
- E_form (uncorrected): 0.364 eV per atom
- Crystal system: tetragonal
- E: -29.08 eV/atom
- Calculated volume: 132 Å³/f.u.



First-principles (meta-GGA SCAN) data for a crystal of HAuBr2 relaxed with PBEsol, as listed in Alexandria.

The structure in extended XYZ format:
```
4
Lattice="3.531 0.000 0.000 1.766 3.058 0.000 1.766 1.019 7.359" Properties=species:S:1:pos:R:3 pbc="T T T"
H 3.531 2.039 3.680
Au 0.000 0.000 0.000
Br 5.297 3.058 2.394
Br 1.766 1.019 4.965
```

Properties
- Mass density: 7475 kg/m3
- Size of the total moment: 0.000 μB/f.u.
- Crystal system: trigonal
- E: -27.43 eV/atom
- Energy above the most stable polymorph in this dataset: 140.7 meV/atom
- Calculated volume: 79 Å³/f.u.



First-principles (meta-GGA SCAN) data for a crystal of HAuBr2 relaxed with PBEsol, as listed in Alexandria.

The structure in extended XYZ format:
```
8
Lattice="-4.869 -0.233 2.711 4.151 -4.756 1.308 1.110 4.903 2.415" Properties=species:S:1:pos:R:3 pbc="T T T"
H -1.299 -1.327 3.291
H -1.879 2.335 2.563
Au 1.691 1.241 3.143
Au 0.000 0.000 0.000
Br -0.737 0.545 2.453
Br -1.886 2.915 4.609
Br 3.115 -0.900 2.648
Br 0.292 -2.732 3.158
```

Properties
- Mass density: 7490 kg/m3
- Size of the total moment: 0.000 μB/f.u.
- Crystal system: tetragonal
- E: -27.58 eV/atom
- Energy above the most stable polymorph in this dataset: 0.0 meV/atom
- Calculated volume: 79 Å³/f.u.



First-principles (meta-GGA SCAN) data for a crystal of HgHAu2Br relaxed with PBEsol, as listed in Alexandria.

The structure in extended XYZ format:
```
5
Lattice="-0.857 -3.556 1.362 3.088 0.168 2.380 -3.472 2.495 4.330" Properties=species:S:1:pos:R:3 pbc="T T T"
H 0.000 0.000 0.000
Au 1.544 0.084 1.190
Au -0.428 -1.778 0.681
Hg -0.620 -0.446 4.036
Br -1.736 1.248 2.165
```

Properties
- Mass density: 12101 kg/m3
- Size of the total moment: 0.000 μB/f.u.
- Crystal system: tetragonal
- E: -45.70 eV/atom
- Calculated volume: 93 Å³/f.u.



First-principles (meta-GGA SCAN) data for a crystal of KHAuBr2 relaxed with PBEsol, as listed in Alexandria.

The structure in extended XYZ format:
```
5
Lattice="-2.821 1.204 2.913 -2.373 -5.250 -0.127 3.579 -1.719 4.177" Properties=species:S:1:pos:R:3 pbc="T T T"
H -1.410 0.602 1.457
K 0.000 0.000 0.000
Au -0.807 -2.882 3.481
Br 1.790 -0.859 2.088
Br -1.186 -2.625 -0.064
```

Properties
- Mass density: 4691 kg/m3
- Size of the total moment: 1.010 μB/f.u.
- Crystal system: tetragonal
- E: -23.62 eV/atom
- Calculated volume: 140 Å³/f.u.



First-principles (meta-GGA SCAN) data for a crystal of ScH2AuBr relaxed with PBEsol, as listed in Alexandria.

The structure in extended XYZ format:
```
5
Lattice="-3.663 -0.757 0.573 0.935 -3.271 1.658 0.292 3.116 5.984" Properties=species:S:1:pos:R:3 pbc="T T T"
Sc -1.218 -0.456 4.107
H 0.468 -1.635 0.829
H -1.832 -0.378 0.286
Au 0.146 1.558 2.992
Br 0.000 0.000 0.000
```

Properties
- Mass density: 5561 kg/m3
- Size of the total moment: 0.000 μB/f.u.
- Crystal system: tetragonal
- E: -21.53 eV/atom
- Calculated volume: 97 Å³/f.u.



First-principles (meta-GGA SCAN) data for a crystal of Hf3AuBr relaxed with PBEsol, as listed in Alexandria.

The structure in extended XYZ format:
```
5
Lattice="-4.467 -1.342 1.105 0.168 -3.366 -3.409 1.731 -3.138 3.183" Properties=species:S:1:pos:R:3 pbc="T T T"
Hf 0.084 -1.683 -1.705
Hf 0.865 -1.569 1.592
Hf -2.234 -0.671 0.553
Au -1.284 -3.923 0.440
Br 0.000 0.000 0.000
```

Properties
- Mass density: 12246 kg/m3
- Size of the total moment: 0.000 μB/f.u.
- E_form (uncorrected): 0.665 eV per atom
- Crystal system: cubic
- E: -54.66 eV/atom
- Calculated volume: 110 Å³/f.u.



First-principles (meta-GGA SCAN) data for a crystal of HfAuBr2 relaxed with PBEsol, as listed in Alexandria.

The structure in extended XYZ format:
```
8
Lattice="5.310 0.000 0.000 2.655 6.604 0.000 2.655 0.000 6.604" Properties=species:S:1:pos:R:3 pbc="T T T"
Hf 3.982 3.302 3.302
Hf 2.655 0.000 0.000
Au 6.637 3.302 3.302
Au 0.000 0.000 0.000
Br 4.646 5.684 2.382
Br 4.646 0.920 4.222
Br 3.318 2.382 0.920
Br 8.628 4.222 5.684
```

Properties
- Mass density: 7677 kg/m3
- Size of the total moment: 0.234 μB/f.u.
- E_form (uncorrected): -0.519 eV per atom
- Crystal system: tetragonal
- E: -43.21 eV/atom
- Calculated volume: 116 Å³/f.u.



First-principles (meta-GGA SCAN) data for a crystal of HfAuSeBr2 relaxed with PBEsol, as listed in Alexandria.

The structure in extended XYZ format:
```
5
Lattice="5.105 0.000 0.000 0.000 5.135 0.000 0.000 0.000 5.135" Properties=species:S:1:pos:R:3 pbc="T T T"
Hf 0.000 0.000 0.000
Au 2.552 2.567 2.567
Se 2.552 0.000 0.000
Br 0.000 0.000 2.567
Br 0.000 2.567 0.000
```

Properties
- Mass density: 7577 kg/m3
- Size of the total moment: 0.001 μB/f.u.
- E_form (uncorrected): -0.373 eV per atom
- Crystal system: tetragonal
- E: -38.54 eV/atom
- Calculated volume: 135 Å³/f.u.



First-principles (meta-GGA SCAN) data for a crystal of Hg3AuBr relaxed with PBEsol, as listed in Alexandria.

The structure in extended XYZ format:
```
5
Lattice="-1.426 -0.192 5.066 4.981 -1.032 1.363 0.943 5.160 0.461" Properties=species:S:1:pos:R:3 pbc="T T T"
Au 0.000 0.000 0.000
Hg 2.490 -0.516 0.682
Hg 0.471 2.580 0.230
Hg -0.713 -0.096 2.533
Br 2.249 1.969 3.445
```

Properties
- Mass density: 9991 kg/m3
- Size of the total moment: 0.000 μB/f.u.
- E_form (uncorrected): -0.122 eV per atom
- Crystal system: cubic
- E: -58.74 eV/atom
- Calculated volume: 146 Å³/f.u.



First-principles (meta-GGA SCAN) data for a crystal of Hg2AuBr relaxed with PBEsol, as listed in Alexandria.

The structure in extended XYZ format:
```
4
Lattice="-3.292 -1.290 1.408 0.032 -3.127 -2.791 2.938 -3.355 3.792" Properties=species:S:1:pos:R:3 pbc="T T T"
Au -0.177 -2.323 2.600
Hg 0.000 0.000 0.000
Hg -1.630 -2.208 -0.691
Br 1.485 -3.241 0.500
```

Properties
- Mass density: 12060 kg/m3
- Size of the total moment: 0.000 μB/f.u.
- E_form (uncorrected): 0.138 eV per atom
- Crystal system: orthorhombic
- E: -56.10 eV/atom
- Calculated volume: 93 Å³/f.u.



First-principles (meta-GGA SCAN) data for a crystal of HgAuBr relaxed with PBEsol, as listed in Alexandria.

The structure in extended XYZ format:
```
3
Lattice="4.771 0.000 0.000 2.386 4.132 0.000 2.386 1.377 3.896" Properties=species:S:1:pos:R:3 pbc="T T T"
Au 4.771 2.755 1.948
Hg 0.000 0.000 0.000
Br 2.386 1.377 0.974
```

Properties
- Mass density: 10323 kg/m3
- Size of the total moment: 0.000 μB/f.u.
- E_form (uncorrected): 0.514 eV per atom
- Crystal system: cubic
- E: -51.75 eV/atom
- Calculated volume: 77 Å³/f.u.